Record 1
SrSmMgZn GGA-PBE optimized geometry; space-group type = No. 216; magnetic moment = 0.00 μB/f.u.; formation enthalpy at 0 K = -0.08 eV per atom
1.0
-4.6344 0.6591 -2.8487
-4.7965 -1.4965 2.1866
-3.6292 3.8153 1.5165
Zn Sm Mg Sr
1 1 1 1
direct
0.0000 0.0000 0.0000
0.7500 0.7500 0.7500
0.5000 0.5000 0.5000
0.2500 0.2500 0.2500

---

Record 2
Dy2TlAgSe4 GGA-PBE optimized geometry; space-group type = No. 63; magnetic moment = 0.00 μB/f.u.; ΔE_f (raw) = -1.2744 eV/atom
1.0
-3.3212 -1.9754 1.5837
1.6380 -3.3735 -6.2791
9.0334 -9.2951 7.3504
Dy Se Ag Tl
4 8 2 2
direct
0.3696 0.7393 0.5685
0.6304 0.2607 0.4315
0.6304 0.2607 0.0685
0.3696 0.7393 0.9315
0.7340 0.4680 0.6013
0.0000 0.0000 0.0000
0.5513 0.1026 0.2500
0.4487 0.8974 0.7500
0.2660 0.5320 0.1013
0.7340 0.4680 0.8987
0.2660 0.5320 0.3987
0.0000 0.0000 0.5000
0.8347 0.6693 0.7500
0.1653 0.3307 0.2500
0.1227 0.2454 0.7500
0.8773 0.7546 0.2500

---

Record 3
Ac7LaHo2 GGA-PBE optimized geometry; space-group type = No. 65; magnetic moment = 0.01 μB/f.u.; formation enthalpy at 0 K = 0.61 eV per atom
1.0
-5.1666 -0.8995 -3.2438
5.1898 -3.8411 -7.2009
1.4485 -9.5564 0.3428
La Ac Ho
1 7 2
direct
0.0000 0.0000 0.0000
0.5000 0.0587 0.6879
0.5000 0.9413 0.3121
0.0000 0.7551 0.7551
0.0000 0.2449 0.2449
0.5000 0.5000 0.5000
0.5000 0.6879 0.0587
0.5000 0.3121 0.9413
0.5000 0.2995 0.2995
0.5000 0.7005 0.7005

---

Record 4
Tl3MoAu GGA-PBE optimized geometry; space-group type = No. 221; magnetic moment = 2.09 μB/f.u.; ΔE to the lowest computed polymorph = 0.00 kcal/mol of atoms; formation enthalpy at 0 K = 0.83 eV per atom
1.0
-3.5705 -1.9867 3.5685
-1.0766 -4.1144 -3.3678
3.9398 -2.9248 2.3137
Au Tl Mo
1 3 1
direct
0.5000 0.5000 0.5000
0.0000 0.5000 0.0000
0.0000 0.0000 0.5000
0.5000 0.0000 0.0000
0.0000 0.0000 0.0000